VASP calculation (PBE) on a relaxed structure of VNiMo2H.

Lattice parameters (Å, degrees): 4.1255 4.1255 3.4085 90.00 90.00 90.00
Sites, in units of the cell vectors:
1 V 0.0000 0.0000 0.0000
2 Ni 0.5000 0.5000 0.0000
3 Mo 0.0000 0.5000 0.5000
4 Mo 0.5000 0.0000 0.5000
5 H 0.5000 0.5000 0.5000

Summary:
The crystal system is tetragonal. For the calculated total energy, the calculation gives -39.80 eV per formula unit.